Model one:
Computed, not measured: PtCI2O after structural relaxation at the PBE level of DFT.

extended XYZ file:
```
20
Lattice="7.610 0.142 -0.027 1.301 7.499 -0.027 4.261 3.654 12.512" Properties=species:S:1:pos:R:3 pbc="T T T"
Pt 7.280 7.220 0.965
Pt 5.892 4.074 11.493
Pt 2.795 3.374 5.237
Pt 10.377 7.920 7.221
C 4.328 4.423 5.134
C 6.010 5.866 1.068
C 7.162 5.429 11.390
C 8.845 6.871 7.324
I 9.261 5.021 3.369
I 8.199 2.029 5.314
I 4.666 1.082 2.832
I 7.785 1.674 0.888
I 3.912 6.273 9.088
I 8.506 10.213 9.626
I 5.387 9.620 11.570
I 4.973 9.266 7.144
O 7.949 6.271 11.315
O 7.893 6.222 7.399
O 5.223 5.024 1.143
O 5.280 5.072 5.059
```

Summary:
**V**: 35.7 Å³/atom
**Magnetic moment**: 0.000 μB/cell
**Crystal system**: monoclinic

***

Model two:
Computed, not measured: PtCI2O after structural relaxation at the PBE level of DFT.

extended XYZ file:
```
5
Lattice="-0.581 1.232 5.508 -3.790 -4.188 0.538 2.208 -1.913 0.661" Properties=species:S:1:pos:R:3 pbc="T T T"
I -1.895 -2.094 0.269
I -0.290 0.616 2.754
C 0.000 0.000 0.000
O 1.104 -0.957 0.330
Pt -1.081 -2.435 3.353
```

Summary:
**N(E_F)**: 2.87 states/eV per cell
**V**: 19.3 Å³/atom
**Magnetic moment**: 0.000 μB/cell
**Crystal system**: tetragonal

***

Most stable structure, least stable structure: model one, model two.

***

Model one:
Computed, not measured: RbCIO2 after structural relaxation at the PBE level of DFT.

extended XYZ file:
```
5
Lattice="4.561 0.000 0.000 0.000 4.561 0.000 0.000 0.000 4.462" Properties=species:S:1:pos:R:3 pbc="T T T"
I 0.000 0.000 2.231
C 0.000 0.000 0.000
O 0.000 2.280 0.000
O 2.280 0.000 0.000
Rb 2.280 2.280 2.231
```

Summary:
**N(E_F)**: 4.71 states/eV per cell
**V**: 18.6 Å³/atom
**Magnetic moment**: 1.670 μB/cell
**Crystal system**: tetragonal

***

Model two:
Computed, not measured: RbCIO2 after structural relaxation at the PBE level of DFT.

extended XYZ file:
```
5
Lattice="4.187 0.000 0.000 0.000 4.187 0.000 0.000 0.000 7.970" Properties=species:S:1:pos:R:3 pbc="T T T"
I 0.000 0.000 3.985
C 2.093 2.093 3.985
O 0.000 2.093 0.000
O 2.093 0.000 0.000
Rb 0.000 0.000 0.000
```

Summary:
**N(E_F)**: 4.99 states/eV per cell
**V**: 27.9 Å³/atom
**Magnetic moment**: 0.783 μB/cell
**Crystal system**: tetragonal

***

Most stable structure, least stable structure: model one, model two.

***

Model one:
Computed, not measured: ReCI2O after structural relaxation at the PBE level of DFT.

extended XYZ file:
```
5
Lattice="-4.858 1.203 0.767 -1.160 -4.916 0.363 0.523 0.108 3.143" Properties=species:S:1:pos:R:3 pbc="T T T"
I -0.580 -2.458 0.181
I -2.429 0.602 0.383
Re -2.748 -1.802 2.136
C 0.000 0.000 0.000
O 0.262 0.054 1.572
```

Summary:
**N(E_F)**: 3.54 states/eV per cell
**V**: 16.4 Å³/atom
**Magnetic moment**: 0.001 μB/cell
**Crystal system**: tetragonal

***

Model two:
Computed, not measured: ReCI2O after structural relaxation at the PBE level of DFT.

extended XYZ file:
```
5
Lattice="-2.490 -2.574 4.183 2.816 -4.591 -1.149 2.742 1.104 2.311" Properties=species:S:1:pos:R:3 pbc="T T T"
I 1.408 -2.296 -0.574
I -1.245 -1.287 2.092
Re 0.000 0.000 0.000
C 1.534 -3.031 2.673
O 1.371 0.552 1.156
```

Summary:
**N(E_F)**: 2.63 states/eV per cell
**V**: 22.8 Å³/atom
**Magnetic moment**: 1.306 μB/cell
**Crystal system**: tetragonal

***

Most stable structure, least stable structure: model two, model one.

***

Model one:
Computed, not measured: RuCIO2 after structural relaxation at the PBE level of DFT.

extended XYZ file:
```
5
Lattice="-0.547 3.642 -0.153 -2.528 -0.490 -2.638 -4.926 -0.537 4.820" Properties=species:S:1:pos:R:3 pbc="T T T"
I -2.463 -0.269 2.410
Ru 0.000 0.000 0.000
C -4.000 1.308 1.014
O -1.264 -0.245 -1.319
O -0.273 1.821 -0.076
```

Summary:
**N(E_F)**: 2.68 states/eV per cell
**V**: 18.8 Å³/atom
**Magnetic moment**: 0.855 μB/cell
**Crystal system**: tetragonal

***

Model two:
Computed, not measured: RuCIO2 after structural relaxation at the PBE level of DFT.

extended XYZ file:
```
5
Lattice="3.759 0.000 0.000 0.000 3.759 0.000 0.000 0.000 4.472" Properties=species:S:1:pos:R:3 pbc="T T T"
I 0.000 0.000 2.236
Ru 1.879 1.879 2.236
C 0.000 0.000 0.000
O 0.000 1.879 0.000
O 1.879 0.000 0.000
```

Summary:
**N(E_F)**: 3.92 states/eV per cell
**V**: 12.6 Å³/atom
**Magnetic moment**: 2.011 μB/cell
**Crystal system**: tetragonal

***

Most stable structure, least stable structure: model one, model two.

***

Model one:
Computed, not measured: RuCI2O after structural relaxation at the PBE level of DFT.

extended XYZ file:
```
5
Lattice="5.470 0.000 0.000 0.000 5.470 0.000 0.000 0.000 3.720" Properties=species:S:1:pos:R:3 pbc="T T T"
I 0.000 2.735 0.000
I 2.735 0.000 0.000
Ru 0.000 0.000 0.000
C 2.735 2.735 1.860
O 0.000 0.000 1.860
```

Summary:
**N(E_F)**: 4.07 states/eV per cell
**V**: 22.3 Å³/atom
**Magnetic moment**: 0.824 μB/cell
**Crystal system**: tetragonal

***

Model two:
Computed, not measured: RuCI2O after structural relaxation at the PBE level of DFT.

extended XYZ file:
```
5
Lattice="-0.024 -4.113 2.939 3.856 -1.915 -2.649 2.070 1.412 1.993" Properties=species:S:1:pos:R:3 pbc="T T T"
I 1.928 -0.957 -1.324
I -0.012 -2.057 1.469
Ru 2.951 -2.308 1.141
C 0.000 0.000 0.000
O 1.035 0.706 0.996
```

Summary:
**N(E_F)**: 3.57 states/eV per cell
**V**: 16.4 Å³/atom
**Magnetic moment**: 0.000 μB/cell
**Crystal system**: tetragonal

***

Most stable structure, least stable structure: model one, model two.

***

Model one:
Computed, not measured: SbCIO2 after structural relaxation at the PBE level of DFT.

extended XYZ file:
```
5
Lattice="-0.796 -2.504 2.897 3.239 -2.018 -0.854 3.478 3.791 4.232" Properties=species:S:1:pos:R:3 pbc="T T T"
I 1.739 1.895 2.116
Sb 0.000 0.000 0.000
C 2.960 -0.366 3.138
O 1.620 -1.009 -0.427
O -0.398 -1.252 1.448
```

Summary:
**N(E_F)**: 1.38 states/eV per cell
**V**: 20.4 Å³/atom
**Magnetic moment**: 1.306 μB/cell
**Crystal system**: tetragonal

***

Model two:
Computed, not measured: SbCIO2 after structural relaxation at the PBE level of DFT.

extended XYZ file:
```
5
Lattice="-0.887 4.015 -0.620 -3.937 -1.006 -0.882 -1.033 0.412 4.143" Properties=species:S:1:pos:R:3 pbc="T T T"
I -0.516 0.206 2.071
Sb -2.929 1.711 1.320
C 0.000 0.000 0.000
O -1.969 -0.503 -0.441
O -0.443 2.008 -0.310
```

Summary:
**N(E_F)**: 0.40 states/eV per cell
**V**: 14.8 Å³/atom
**Magnetic moment**: 0.000 μB/cell
**Crystal system**: tetragonal

***

Most stable structure, least stable structure: model one, model two.

***

Model one:
Computed, not measured: SbCI2O after structural relaxation at the PBE level of DFT.

extended XYZ file:
```
5
Lattice="7.258 0.000 0.000 0.000 7.258 0.000 0.000 0.000 2.923" Properties=species:S:1:pos:R:3 pbc="T T T"
I 0.000 3.629 0.000
I 3.629 0.000 0.000
Sb 3.629 3.629 1.461
C 0.000 0.000 0.000
O 0.000 0.000 1.461
```

Summary:
**N(E_F)**: 2.80 states/eV per cell
**V**: 30.8 Å³/atom
**Magnetic moment**: 0.000 μB/cell
**Crystal system**: tetragonal

***

Model two:
Computed, not measured: SbCI2O after structural relaxation at the PBE level of DFT.

extended XYZ file:
```
5
Lattice="-2.975 3.164 -3.823 -3.628 -4.428 -0.841 -2.435 1.413 3.064" Properties=species:S:1:pos:R:3 pbc="T T T"
I -1.814 -2.214 -0.421
I -1.487 1.582 -1.911
Sb -1.217 0.707 1.532
C -4.519 0.075 -0.800
O 0.000 0.000 0.000
```

Summary:
**N(E_F)**: 5.51 states/eV per cell
**V**: 27.9 Å³/atom
**Magnetic moment**: 0.954 μB/cell
**Crystal system**: tetragonal

***

Most stable structure, least stable structure: model one, model two.

***

Model one:
Computed, not measured: SbCI2O after structural relaxation at the PBE level of DFT.

extended XYZ file:
```
5
Lattice="-1.221 3.868 4.466 -5.736 0.315 -1.842 -0.948 -3.097 2.422" Properties=species:S:1:pos:R:3 pbc="T T T"
I -2.868 0.158 -0.921
I -0.611 1.934 2.233
Sb 0.000 0.000 0.000
C -3.953 0.543 2.523
O -0.474 -1.548 1.211
```

Summary:
**N(E_F)**: 4.30 states/eV per cell
**V**: 29.4 Å³/atom
**Magnetic moment**: 1.563 μB/cell
**Crystal system**: tetragonal

***

Model two:
Computed, not measured: SbCI2O after structural relaxation at the PBE level of DFT.

extended XYZ file:
```
5
Lattice="4.915 0.000 0.000 0.000 4.915 0.000 0.000 0.000 4.711" Properties=species:S:1:pos:R:3 pbc="T T T"
I 0.000 2.458 0.000
I 2.458 0.000 0.000
Sb 0.000 0.000 2.356
C 0.000 0.000 0.000
O 2.458 2.458 2.356
```

Summary:
**N(E_F)**: 7.50 states/eV per cell
**V**: 22.8 Å³/atom
**Magnetic moment**: 0.000 μB/cell
**Crystal system**: tetragonal

***

Most stable structure, least stable structure: model one, model two.

***

Model one:
Computed, not measured: Sb2CIO after structural relaxation at the PBE level of DFT.

extended XYZ file:
```
5
Lattice="-2.043 1.213 3.751 -2.383 -3.745 -0.087 4.525 -2.958 3.422" Properties=species:S:1:pos:R:3 pbc="T T T"
I 2.262 -1.479 1.711
Sb -1.192 -1.873 -0.043
Sb -1.022 0.607 1.875
C 0.049 -2.745 3.543
O 0.000 0.000 0.000
```

Summary:
**N(E_F)**: 3.43 states/eV per cell
**V**: 25.2 Å³/atom
**Magnetic moment**: 0.612 μB/cell
**Crystal system**: tetragonal

***

Model two:
Computed, not measured: Sb2CIO after structural relaxation at the PBE level of DFT.

extended XYZ file:
```
5
Lattice="-2.324 -4.058 -0.645 1.036 0.138 -4.603 4.089 -2.476 0.846" Properties=species:S:1:pos:R:3 pbc="T T T"
I 2.044 -1.238 0.423
Sb 0.518 0.069 -2.302
Sb -1.162 -2.029 -0.322
C 0.000 0.000 0.000
O 1.401 -3.198 -2.201
```

Summary:
**N(E_F)**: 4.35 states/eV per cell
**V**: 21.6 Å³/atom
**Magnetic moment**: 0.001 μB/cell
**Crystal system**: tetragonal

***

Most stable structure, least stable structure: model two, model one.

***

Model one:
Computed, not measured: SrCIO2 after structural relaxation at the PBE level of DFT.

extended XYZ file:
```
5
Lattice="4.477 0.000 0.000 0.000 4.477 0.000 0.000 0.000 7.457" Properties=species:S:1:pos:R:3 pbc="T T T"
I 0.000 0.000 3.728
Sr 0.000 0.000 0.000
C 2.238 2.238 3.728
O 0.000 2.238 0.000
O 2.238 0.000 0.000
```

Summary:
**N(E_F)**: 3.85 states/eV per cell
**V**: 29.9 Å³/atom
**Magnetic moment**: 3.284 μB/cell
**Crystal system**: tetragonal

***

Model two:
Computed, not measured: SrCIO2 after structural relaxation at the PBE level of DFT.

extended XYZ file:
```
5
Lattice="-0.893 -3.314 -2.696 3.698 0.780 -2.183 2.114 -2.699 2.618" Properties=species:S:1:pos:R:3 pbc="T T T"
I 1.057 -1.350 1.309
Sr 2.460 -2.617 -1.131
C 0.000 0.000 0.000
O 1.849 0.390 -1.091
O -0.446 -1.657 -1.348
```

Summary:
**N(E_F)**: 4.90 states/eV per cell
**V**: 16.4 Å³/atom
**Magnetic moment**: 0.002 μB/cell
**Crystal system**: tetragonal

***

Most stable structure, least stable structure: model two, model one.

***

Model one:
Computed, not measured: TiCI2O after structural relaxation at the PBE level of DFT.

extended XYZ file:
```
5
Lattice="5.234 0.000 0.000 0.000 5.234 0.000 0.000 0.000 3.342" Properties=species:S:1:pos:R:3 pbc="T T T"
I 0.000 2.617 0.000
I 2.617 0.000 0.000
C 0.000 0.000 0.000
O 0.000 0.000 1.671
Ti 2.617 2.617 1.671
```

Summary:
**N(E_F)**: 6.24 states/eV per cell
**V**: 18.3 Å³/atom
**Magnetic moment**: 0.137 μB/cell
**Crystal system**: tetragonal

***

Model two:
Computed, not measured: TiCI2O after structural relaxation at the PBE level of DFT.

extended XYZ file:
```
5
Lattice="5.583 0.000 0.000 0.000 5.583 0.000 0.000 0.000 3.732" Properties=species:S:1:pos:R:3 pbc="T T T"
I 0.000 2.792 0.000
I 2.792 0.000 0.000
C 2.792 2.792 1.866
O 0.000 0.000 1.866
Ti 0.000 0.000 0.000
```

Summary:
**N(E_F)**: 2.81 states/eV per cell
**V**: 23.3 Å³/atom
**Magnetic moment**: 2.001 μB/cell
**Crystal system**: tetragonal

***

Most stable structure, least stable structure: model two, model one.

***

Model one:
Computed, not measured: TlCI2O after structural relaxation at the PBE level of DFT.

extended XYZ file:
```
5
Lattice="-3.597 4.879 2.182 1.972 -1.233 6.008 2.446 1.981 -0.396" Properties=species:S:1:pos:R:3 pbc="T T T"
I 0.986 -0.617 3.004
I -1.798 2.439 1.091
Tl 0.411 2.813 3.897
C 0.000 0.000 0.000
O 1.223 0.990 -0.198
```

Summary:
**N(E_F)**: 4.52 states/eV per cell
**V**: 26.3 Å³/atom
**Magnetic moment**: 0.070 μB/cell
**Crystal system**: tetragonal

***

Model two:
Computed, not measured: TlCI2O after structural relaxation at the PBE level of DFT.

extended XYZ file:
```
5
Lattice="6.173 0.000 0.000 0.000 6.173 0.000 0.000 0.000 4.059" Properties=species:S:1:pos:R:3 pbc="T T T"
I 0.000 3.086 0.000
I 3.086 0.000 0.000
Tl 0.000 0.000 0.000
C 3.086 3.086 2.030
O 0.000 0.000 2.030
```

Summary:
**N(E_F)**: 3.46 states/eV per cell
**V**: 30.9 Å³/atom
**Magnetic moment**: 0.911 μB/cell
**Crystal system**: tetragonal

***

Most stable structure, least stable structure: model one, model two.